AlPSeCl2 | Alexandria | GGA-PBE | relaxed; N(E_F) = 0.677 states/eV/atom; relative energy among the computed polymorphs = 0.000 kcal/mol of atoms; theoretical density = 3.3 g/cm3; symmetry = P4/mmm; energy relative to the elements, uncorrected = -0.09 eV per atom; magnetization = 0.353 Bohr magnetons per cell
1.0
4.459 0.000 0.000
0.000 4.459 0.000
0.000 0.000 5.333
Al P Se Cl
1 1 1 2
Direct
0.000 0.000 0.000
0.000 0.000 0.500
0.500 0.500 0.500
0.000 0.500 0.000
0.500 0.000 0.000

---

Pa4Si3Tc | Alexandria | GGA-PBE | relaxed; N(E_F) = 1.674 states/eV/atom; theoretical density = 10.8 g/cm3; symmetry = Pmm2; energy relative to the elements, uncorrected = -0.44 eV per atom; magnetization = 0.000 Bohr magnetons per cell
1.0
4.036 0.000 0.000
0.000 4.055 0.000
0.000 0.000 10.390
Pa Si Tc
4 3 1
Direct
0.000 0.000 0.000
0.000 0.500 0.498
0.500 0.000 0.281
0.500 0.500 0.779
0.000 0.000 0.716
0.000 0.500 0.218
0.500 0.500 0.060
0.500 0.000 0.554

---

ZrAl2Cl | Alexandria | GGA-PBE | relaxed; N(E_F) = 0.680 states/eV/atom; relative energy among the computed polymorphs = 4.815 kcal/mol of atoms; theoretical density = 3.8 g/cm3; symmetry = P2/m; energy relative to the elements, uncorrected = -0.23 eV per atom; magnetization = 0.000 Bohr magnetons per cell
1.0
3.298 0.000 0.000
0.000 4.704 0.000
-0.018 0.000 5.145
Zr Al Cl
1 2 1
Direct
0.000 0.000 0.000
0.500 0.500 0.245
0.500 0.500 0.755
0.000 0.000 0.500

---

CePaTeSe2 | Alexandria | GGA-PBE | relaxed; N(E_F) = 1.879 states/eV/atom; theoretical density = 7.6 g/cm3; symmetry = I4mm; energy relative to the elements, uncorrected = -1.10 eV per atom; magnetization = 5.990 Bohr magnetons per cell
1.0
4.595 0.000 0.000
0.000 4.595 0.000
0.000 0.000 13.592
Ce Pa Te Se
2 2 2 4
Direct
0.000 0.000 0.000
0.500 0.500 0.500
0.000 0.000 0.242
0.500 0.500 0.742
0.000 0.000 0.624
0.500 0.500 0.124
0.000 0.500 0.366
0.000 0.500 0.866
0.500 0.000 0.366
0.500 0.000 0.866

---

K2BeCuO4 | Alexandria | GGA-PBE | relaxed; N(E_F) = 0.359 states/eV/atom; theoretical density = 2.7 g/cm3; symmetry = Fddd; energy relative to the elements, uncorrected = -1.25 eV per atom; magnetization = 1.656 Bohr magnetons per cell
1.0
0.000 5.683 9.406
2.458 0.000 9.406
2.458 5.683 0.000
K Be Cu O
4 2 2 8
Direct
0.052 0.052 0.698
0.302 0.302 0.948
0.698 0.698 0.052
0.948 0.948 0.302
0.375 0.375 0.375
0.625 0.625 0.625
0.125 0.125 0.125
0.875 0.875 0.875
0.025 0.647 0.553
0.275 0.553 0.647
0.353 0.975 0.725
0.447 0.725 0.975
0.553 0.275 0.025
0.647 0.025 0.275
0.725 0.447 0.353
0.975 0.353 0.447

---

Nd12ErTm6 | Alexandria | GGA-PBE | relaxed; formation energy from the elements = 0.019 eV per atom; N(E_F) = 1.366 states/eV/atom; relative energy among the computed polymorphs = 0.000 kcal/mol of atoms; theoretical density = 7.6 g/cm3; symmetry = R-3; magnetization = 0.000 Bohr magnetons per cell
1.0
7.863 4.540 2.952
-7.863 4.540 2.952
0.000 -9.079 2.952
Nd Er Tm
12 1 6
Direct
0.057 0.372 0.581
0.104 0.737 0.157
0.157 0.104 0.737
0.263 0.843 0.896
0.372 0.581 0.057
0.419 0.943 0.628
0.581 0.057 0.372
0.628 0.419 0.943
0.737 0.157 0.104
0.843 0.896 0.263
0.896 0.263 0.843
0.943 0.628 0.419
0.000 0.000 0.000
0.214 0.471 0.318
0.318 0.214 0.471
0.471 0.318 0.214
0.529 0.682 0.786
0.682 0.786 0.529
0.786 0.529 0.682

---

Li2TcOs | Alexandria | GGA-PBE | relaxed; formation energy from the elements = 0.249 eV per atom; N(E_F) = 0.675 states/eV/atom; relative energy among the computed polymorphs = 3.207 kcal/mol of atoms; theoretical density = 8.9 g/cm3; symmetry = Pmmm; magnetization = 0.000 Bohr magnetons per cell
1.0
2.998 0.000 0.000
0.000 4.096 0.000
0.000 0.000 4.576
Li Tc Os
2 1 1
Direct
0.000 0.000 0.000
0.500 0.500 0.000
0.000 0.500 0.500
0.500 0.000 0.500

---

YSc2Pt | Alexandria | GGA-PBE | relaxed; formation energy from the elements = -0.430 eV per atom; N(E_F) = 1.705 states/eV/atom; relative energy among the computed polymorphs = 6.362 kcal/mol of atoms; theoretical density = 6.1 g/cm3; symmetry = R-3m; magnetization = 0.002 Bohr magnetons per cell
1.0
3.610 0.000 0.000
-1.805 3.126 0.000
0.000 0.000 27.184
Y Sc Pt
3 6 3
Direct
0.000 0.000 0.000
0.333 0.667 0.667
0.667 0.333 0.333
0.000 0.000 0.228
0.000 0.000 0.772
0.333 0.667 0.439
0.333 0.667 0.895
0.667 0.333 0.105
0.667 0.333 0.561
0.000 0.000 0.500
0.333 0.667 0.167
0.667 0.333 0.833

---

Mg2GaTe | Alexandria | GGA-PBE | relaxed; N(E_F) = 0.413 states/eV/atom; relative energy among the computed polymorphs = 0.000 kcal/mol of atoms; theoretical density = 4.1 g/cm3; symmetry = I-42d; energy relative to the elements, uncorrected = -0.19 eV per atom; magnetization = 0.000 Bohr magnetons per cell
1.0
7.811 0.000 0.000
0.000 7.811 0.000
0.000 0.000 6.561
Mg Ga Te
8 4 4
Direct
0.247 0.250 0.125
0.250 0.747 0.375
0.250 0.753 0.875
0.253 0.250 0.625
0.747 0.750 0.625
0.750 0.247 0.875
0.750 0.253 0.375
0.753 0.750 0.125
0.000 0.000 0.000
0.000 0.500 0.250
0.500 0.000 0.750
0.500 0.500 0.500
0.000 0.000 0.500
0.000 0.500 0.750
0.500 0.000 0.250
0.500 0.500 0.000